(1)
Crystalline SrMnB14 at its relaxed geometry, computed with GGA-PBE.

```
SrMnB14
1.0
5.3810 0.0000 2.3947
2.0133 6.6331 2.7190
-0.0901 0.0471 7.4454
Sr Mn B
2 2 28
Cartesian
2.1128 2.5681 2.4953
5.1913 4.1122 10.0638
2.6454 0.0236 4.9200
-0.0450 0.0236 3.7227
4.2846 2.4351 4.8582
3.0196 4.2452 7.7009
2.4305 5.3831 9.0244
4.8736 1.2971 3.5346
1.1289 1.6082 4.7063
6.1753 5.0721 7.8527
3.3242 0.0576 7.0164
3.9800 6.6226 5.5426
0.5517 0.5872 6.0033
6.7525 6.0930 6.5558
3.5908 1.6786 6.4174
3.7134 5.0016 6.1417
5.0463 4.0098 5.4568
3.9741 2.6705 7.8661
2.7339 5.1935 3.4100
0.9056 1.4868 7.5182
2.2578 2.6705 7.1023
3.3300 4.0098 4.6930
4.5703 1.4868 9.1491
6.3986 5.1935 5.0408
3.6238 6.4768 9.9402
0.9717 0.2035 1.4135
5.1549 2.5175 6.4996
4.8215 4.1627 7.2487
3.6804 0.2035 2.6189
6.3325 6.4768 11.1456
2.1493 4.1627 6.0595
2.4826 2.5175 5.3104
```

## Properties
The value obtained for the theoretical density is 3.66 g/cm3. Its symmetry is Imma (74). For the energy of formation from the pure elements, the calculation gives -13 kJ per mole of atoms. The energy comes out at -0.4892 Ry per atom.

=====

(2)
Crystalline Tm6Sc2Al at its relaxed geometry, computed with GGA-PBE.

```
Tm6Sc2Al
1.0
-3.0960 2.3171 3.3659
-7.4294 -5.7328 -2.8872
2.4634 -6.6303 6.8261
Tm Sc Al
12 4 2
Cartesian
-2.9103 0.8782 4.5263
-6.8620 -5.1798 5.0587
-5.5742 -7.0738 7.5466
-0.9360 -3.6871 5.5801
-0.5565 -6.2822 7.7151
-4.7589 -4.0029 2.2816
-5.1517 -10.9243 2.7786
-1.2001 -4.8663 2.2461
-2.4878 -2.9723 -0.2417
-7.1260 -6.3589 1.7247
-7.5055 -3.7638 -0.4103
-3.3031 -6.0431 5.0232
-0.2155 -6.8976 4.5482
-5.6697 -8.0869 4.2522
-2.3923 -1.9591 3.0527
-7.8465 -3.1484 2.7567
-5.2627 -1.7079 0.2394
1.2317 -3.3151 3.4131
```

## Properties
The value obtained for the theoretical density is 7.59 g/cm3. Its symmetry is Pnnm (58). For the energy of formation from the pure elements, the calculation gives -3 kJ per mole of atoms. The energy comes out at -0.3550 Ry per atom.

=====

(3)
Crystalline BaH6C2SNO5 at its relaxed geometry, computed with GGA-PBE.

```
BaH6C2SNO5
1.0
-5.7812 -2.6093 2.9025
5.8307 -2.7764 2.6191
2.6756 8.2587 5.1295
Ba H C S N O
2 12 4 2 2 10
Cartesian
0.7121 0.0895 6.7080
2.0129 2.7834 3.9430
2.4351 3.0999 7.4330
0.2900 -0.2270 3.2181
0.9204 3.5554 7.3067
1.8047 -0.6825 3.3443
0.8496 -3.4520 6.1383
1.8754 6.3250 4.5128
-3.5039 -0.1835 3.3376
6.2290 3.0565 7.3134
-1.6031 -0.9331 4.4168
4.3282 3.8061 6.2343
-1.6247 -2.0809 5.5154
4.3498 4.9539 5.1357
-1.5470 2.3612 4.6432
4.2721 0.5118 6.0079
-1.3792 5.3938 6.4416
4.1043 -2.5209 4.2094
-1.2147 4.7201 7.9171
3.9398 -1.8471 2.7340
4.3356 3.1322 7.9926
-1.6105 -0.2592 2.6585
-0.4156 2.0095 5.0897
3.1407 0.8635 5.5614
-2.6698 2.0320 5.1292
5.3948 0.8409 5.5219
1.5900 2.9294 6.9525
1.1351 -0.0565 3.6986
1.4811 -2.7627 6.4243
1.2440 5.6356 4.2268
-1.5847 -1.1046 5.3942
4.3097 3.9775 5.2568
```

## Properties
The value obtained for the theoretical density is 2.27 g/cm3. Its symmetry is P-1 (2). The energy comes out at -0.4375 Ry per atom.

=====

(4)
Crystalline Tl2SbW at its relaxed geometry, computed with GGA-PBE.

```
Tl2SbW
1.0
-0.4668 7.3771 3.2521
-5.2949 6.0127 1.0137
3.0062 -7.4787 0.4968
Sb Tl W
1 2 1
Cartesian
-2.5847 2.6144 1.8217
-5.3733 12.4873 3.9783
-3.2692 7.5974 2.4204
-0.1707 3.2966 2.9409
```

## Properties
The value obtained for the theoretical density is 11.09 g/cm3. Its symmetry is Immm (71). The energy comes out at -0.3578 Ry per atom.

=====

(5)
Crystalline SbSe2Cl at its relaxed geometry, computed with GGA-PBE.

```
SbSe2Cl
1.0
5.3520 0.0000 0.0000
0.0000 4.0853 0.0000
0.0000 0.0000 4.0853
Cl Sb Se
1 1 2
Cartesian
2.6760 2.0427 0.0000
2.6760 0.0000 2.0427
0.0000 0.0000 0.0000
0.0000 2.0427 2.0427
```

## Properties
The value obtained for the theoretical density is 5.86 g/cm3. Its symmetry is P4/mmm (123). The energy comes out at -0.2268 Ry per atom.

=====

(6)
Crystalline Dy2AsPRh6 at its relaxed geometry, computed with GGA-PBE.

```
Dy2AsPRh6
1.0
5.8384 0.0000 0.0000
0.0000 7.2634 0.0000
0.0000 0.0000 8.6007
Dy As P Rh
4 2 2 12
Cartesian
2.9192 5.3505 2.3325
0.0000 1.9129 6.6329
2.9192 5.3505 6.2682
0.0000 1.9129 1.9678
0.0000 5.1852 4.3003
2.9192 2.0782 0.0000
2.9192 1.6631 4.3003
0.0000 5.6003 0.0000
2.9192 0.9882 2.1419
2.9192 0.9882 6.4587
0.0000 6.2752 2.1584
0.0000 6.2752 6.4423
1.3545 0.0689 4.3003
4.4839 0.0689 4.3003
1.3551 3.2045 4.3003
4.4832 3.2045 4.3003
4.2743 4.0589 0.0000
1.5640 4.0589 0.0000
1.5647 7.1945 0.0000
4.2737 7.1945 0.0000
```

## Properties
The value obtained for the theoretical density is 9.55 g/cm3. Its symmetry is Pmmn (59). For the energy of formation from the pure elements, the calculation gives -68 kJ per mole of atoms. The energy comes out at -0.5173 Ry per atom.